# PrVOs, optimized geometry, DFT GGA-PBE
data_PrVOs
_cell_length_a 4.278
_cell_length_b 4.278
_cell_length_c 7.024
_cell_angle_alpha 90.00
_cell_angle_beta 90.00
_cell_angle_gamma 90.00
_space_group_name_H-M_alt 'P 4/n m m'
_space_group_IT_number 129
loop_
_space_group_symop_operation_xyz
'x,y,z'
'-x,-y,-z'
'-y+1/2,x,z'
'y+1/2,-x,-z'
'-x+1/2,-y+1/2,z'
'x+1/2,y+1/2,-z'
'y,-x+1/2,z'
'-y,x+1/2,-z'
'x+1/2,-y,-z'
'-x+1/2,y,z'
'-y,-x,-z'
'y,x,z'
'-x,y+1/2,-z'
'x,-y+1/2,z'
'y+1/2,x+1/2,-z'
'-y+1/2,-x+1/2,z'
loop_
_atom_site_label
_atom_site_fract_x
_atom_site_fract_y
_atom_site_fract_z
_atom_site_occupancy
Pr1 0.250 0.250 0.157 1
V1 0.250 0.750 0.500 1
Os1 0.250 0.250 0.679 1
# **Crystal system**: tetragonal
# **Density**: 9.87 Mg/m³
# **E**: -50.9 eV for the cell shown
# **Energy of formation from the pure elements**: -102.0 meV per atom